Record 1
DFT (PBE) results for a relaxed Pb2WSe crystal.

The size of the total moment comes out at 0.000 μB/f.u. The calculation puts the density of states at the Fermi level at 6.06 states/eV/cell. The formation energy without anion corrections is 0.481 eV/atom.

Cell: 3.345 5.732 10.592 Å, 90.00 90.00 90.00°
Space group Cmm2 (No. 35)
Unique sites:
Pb (0.000, 0.000, 0.000) [2 per cell]
Pb (0.000, 0.500, 0.293) [2 per cell]
W (0.000, 0.500, 0.767) [2 per cell]
Se (0.000, 0.000, 0.599) [2 per cell]

=====

Record 2
DFT (PBE) results for a relaxed Tb8Nd4Er crystal.

The size of the total moment comes out at 1.375 μB/f.u. The calculation puts the density of states at the Fermi level at 59.58 states/eV/cell. The energy of formation comes out at 0.51 eV/atom.

Cell: 11.0792 11.0792 13.5102 Å, 90.00 90.00 120.00°
Space group R-3m (No. 166, hexagonal axes)
Unique sites:
Tb (0.0000, 0.0000, 0.2398) [6 per cell]
Tb (0.0126, 0.5063, 0.7459) [18 per cell]
Nd (0.0000, 0.0000, 0.0000) [3 per cell]
Nd (0.0000, 0.5000, 0.0000) [9 per cell]
Er (0.0000, 0.0000, 0.5000) [3 per cell]